Pb5C GGA-PBE optimized geometry; M_tot = 0.000 μB/f.u.; electronic total energy = -23.41 eV for the cell shown; energy above the lowest structure with this stoichiometry = 0.000 eV/atom; space-group type = Cmmm
1.0
1.7458 -8.8129 0.0000
1.7458 8.8129 0.0000
0.0000 0.0000 5.9236
C Pb
1 5
direct
0.5000 0.5000 0.0000
0.9011 0.0989 0.0000
0.3300 0.6700 0.5000
0.0989 0.9011 0.0000
0.0000 0.0000 0.5000
0.6700 0.3300 0.5000


Pb3C GGA-PBE optimized geometry; M_tot = 0.000 μB/f.u.; electronic total energy = -16.71 eV for the cell shown; energy above the lowest structure with this stoichiometry = 0.209 eV/atom; space-group type = P-6m2
1.0
-1.6390 1.3818 -2.8661
1.5536 -3.2178 -0.2051
-7.8418 -3.9506 2.5796
Pb C
3 1
direct
0.6667 0.3333 0.1664
0.0000 0.0000 0.5000
0.6667 0.3333 0.8336
0.0000 0.0000 0.0000